No. 1
A plane-wave DFT calculation with GGA-PBE was carried out for Pr8GaGe3Br4 after structural relaxation.

E_form (uncorrected) (eV per atom): -1.098
Space group: R-3m, No. 166
Crystal system: trigonal

Cell and atoms, written as CIF:
```
data_Pr8GaGe3Br4
_chemical_formula_sum 'Pr8 Ga1 Ge3 Br4'
_space_group_name_H-M_alt 'P 1'
_space_group_IT_number 1
_cell_length_a 8.854
_cell_length_b 8.854
_cell_length_c 8.854
_cell_angle_alpha 58.98
_cell_angle_beta 58.98
_cell_angle_gamma 58.98
loop_
_space_group_symop_operation_xyz
'x,y,z'
loop_
_atom_site_label
_atom_site_type_symbol
_atom_site_fract_x
_atom_site_fract_y
_atom_site_fract_z
Pr1 Pr 0.239 0.239 0.239
Pr2 Pr 0.240 0.739 0.739
Pr3 Pr 0.261 0.261 0.760
Pr4 Pr 0.261 0.760 0.261
Pr5 Pr 0.739 0.240 0.739
Pr6 Pr 0.739 0.739 0.240
Pr7 Pr 0.760 0.261 0.261
Pr8 Pr 0.761 0.761 0.761
Ga1 Ga 0.500 0.500 0.500
Ge1 Ge 0.000 0.000 0.500
Ge2 Ge 0.000 0.500 0.000
Ge3 Ge 0.500 0.000 0.000
Br1 Br 0.000 0.000 0.000
Br2 Br 0.000 0.500 0.500
Br3 Br 0.500 0.000 0.500
Br4 Br 0.500 0.500 0.000
```

No. 2
A plane-wave DFT calculation with GGA-PBE was carried out for La2NdHoBi4 after structural relaxation.

Space group: P2/m, No. 10
Crystal system: monoclinic
Calculated formation energy (kJ/mol of atoms): -93.6

Cell and atoms, written as CIF:
```
data_La2NdHoBi4
_chemical_formula_sum 'La2 Nd1 Ho1 Bi4'
_space_group_name_H-M_alt 'P 1'
_space_group_IT_number 1
_cell_length_a 7.995
_cell_length_b 4.629
_cell_length_c 8.009
_cell_angle_alpha 90.00
_cell_angle_beta 109.52
_cell_angle_gamma 90.00
loop_
_space_group_symop_operation_xyz
'x,y,z'
loop_
_atom_site_label
_atom_site_type_symbol
_atom_site_fract_x
_atom_site_fract_y
_atom_site_fract_z
La1 La 0.000 0.000 0.000
La2 La 0.000 0.500 0.500
Nd1 Nd 0.500 0.000 0.500
Ho1 Ho 0.500 0.500 0.000
Bi1 Bi 0.257 0.500 0.248
Bi2 Bi 0.261 0.000 0.758
Bi3 Bi 0.739 0.000 0.242
Bi4 Bi 0.743 0.500 0.752
```

No. 3
A plane-wave DFT calculation with GGA-PBE was carried out for Tc2PAu after structural relaxation.

Space group: P4mm, No. 99
Crystal system: tetragonal
Calculated formation energy (kJ/mol of atoms): 7.9

Cell and atoms, written as CIF:
```
data_Tc2PAu
_chemical_formula_sum 'Tc2 P1 Au1'
_space_group_name_H-M_alt 'P 1'
_space_group_IT_number 1
_cell_length_a 2.940
_cell_length_b 2.940
_cell_length_c 7.018
_cell_angle_alpha 90.00
_cell_angle_beta 90.00
_cell_angle_gamma 90.00
loop_
_space_group_symop_operation_xyz
'x,y,z'
loop_
_atom_site_label
_atom_site_type_symbol
_atom_site_fract_x
_atom_site_fract_y
_atom_site_fract_z
Tc1 Tc 0.000 0.000 0.000
Tc2 Tc 0.500 0.500 0.250
P1 P 0.500 0.500 0.818
Au1 Au 0.000 0.000 0.537
```

No. 4
A plane-wave DFT calculation with GGA-PBE was carried out for LiHf2Ni9 after structural relaxation.

Space group: P4/mmm, No. 123
Crystal system: tetragonal
Energy above the lowest structure with this stoichiometry (meV per atom): 0
Calculated formation energy (kJ/mol of atoms): -31.7

Cell and atoms, written as CIF:
```
data_LiHf2Ni9
_chemical_formula_sum 'Li1 Hf2 Ni9'
_space_group_name_H-M_alt 'P 1'
_space_group_IT_number 1
_cell_length_a 3.698
_cell_length_b 3.698
_cell_length_c 10.788
_cell_angle_alpha 90.00
_cell_angle_beta 90.00
_cell_angle_gamma 90.00
loop_
_space_group_symop_operation_xyz
'x,y,z'
loop_
_atom_site_label
_atom_site_type_symbol
_atom_site_fract_x
_atom_site_fract_y
_atom_site_fract_z
Li1 Li 0.000 0.000 0.000
Hf1 Hf 0.000 0.000 0.323
Hf2 Hf 0.000 0.000 0.677
Ni1 Ni 0.000 0.500 0.152
Ni2 Ni 0.000 0.500 0.500
Ni3 Ni 0.000 0.500 0.848
Ni4 Ni 0.500 0.000 0.152
Ni5 Ni 0.500 0.000 0.500
Ni6 Ni 0.500 0.000 0.848
Ni7 Ni 0.500 0.500 0.000
Ni8 Ni 0.500 0.500 0.329
Ni9 Ni 0.500 0.500 0.671
```

No. 5
A plane-wave DFT calculation with GGA-PBE was carried out for TlWSCl2 after structural relaxation.

E_form (uncorrected) (eV per atom): -0.289
Space group: P4/mmm, No. 123
Crystal system: tetragonal
Energy above the lowest structure with this stoichiometry (meV per atom): 0

Cell and atoms, written as CIF:
```
data_TlWSCl2
_chemical_formula_sum 'Tl1 W1 S1 Cl2'
_space_group_name_H-M_alt 'P 1'
_space_group_IT_number 1
_cell_length_a 5.076
_cell_length_b 5.076
_cell_length_c 4.642
_cell_angle_alpha 90.00
_cell_angle_beta 90.00
_cell_angle_gamma 90.00
loop_
_space_group_symop_operation_xyz
'x,y,z'
loop_
_atom_site_label
_atom_site_type_symbol
_atom_site_fract_x
_atom_site_fract_y
_atom_site_fract_z
Tl1 Tl 0.000 0.000 0.000
W1 W 0.500 0.500 0.500
S1 S 0.500 0.500 0.000
Cl1 Cl 0.000 0.500 0.500
Cl2 Cl 0.500 0.000 0.500
```

No. 6
A plane-wave DFT calculation with GGA-PBE was carried out for CaCu2Sb after structural relaxation.

E_form (uncorrected) (eV per atom): -0.284
Space group: R3m, No. 160
Crystal system: trigonal

Cell and atoms, written as CIF:
```
data_CaCu2Sb
_chemical_formula_sum 'Ca1 Cu2 Sb1'
_space_group_name_H-M_alt 'P 1'
_space_group_IT_number 1
_cell_length_a 5.989
_cell_length_b 5.989
_cell_length_c 5.989
_cell_angle_alpha 41.68
_cell_angle_beta 41.68
_cell_angle_gamma 41.68
loop_
_space_group_symop_operation_xyz
'x,y,z'
loop_
_atom_site_label
_atom_site_type_symbol
_atom_site_fract_x
_atom_site_fract_y
_atom_site_fract_z
Ca1 Ca 0.000 0.000 0.000
Cu1 Cu 0.206 0.206 0.206
Cu2 Cu 0.539 0.539 0.539
Sb1 Sb 0.800 0.800 0.800
```

No. 7
A plane-wave DFT calculation with GGA-PBE was carried out for La3Nd2Y after structural relaxation.

Space group: C2/m, No. 12
Crystal system: monoclinic
Energy above the lowest structure with this stoichiometry (meV per atom): 0
Calculated formation energy (kJ/mol of atoms): 10.2

Cell and atoms, written as CIF:
```
data_La3Nd2Y
_chemical_formula_sum 'La6 Nd4 Y2'
_space_group_name_H-M_alt 'P 1'
_space_group_IT_number 1
_cell_length_a 9.395
_cell_length_b 9.395
_cell_length_c 14.601
_cell_angle_alpha 116.15
_cell_angle_beta 116.15
_cell_angle_gamma 21.97
loop_
_space_group_symop_operation_xyz
'x,y,z'
loop_
_atom_site_label
_atom_site_type_symbol
_atom_site_fract_x
_atom_site_fract_y
_atom_site_fract_z
La1 La 0.034 0.034 0.217
La2 La 0.258 0.258 0.710
La3 La 0.402 0.402 0.968
La4 La 0.598 0.598 0.032
La5 La 0.742 0.742 0.290
La6 La 0.966 0.966 0.783
Nd1 Nd 0.178 0.178 0.883
Nd2 Nd 0.344 0.344 0.530
Nd3 Nd 0.656 0.656 0.470
Nd4 Nd 0.822 0.822 0.117
Y1 Y 0.436 0.436 0.360
Y2 Y 0.564 0.564 0.640
```

No. 8
A plane-wave DFT calculation with GGA-PBE was carried out for PmCd9Rh2 after structural relaxation.

Space group: I4_1/amd, No. 141
Crystal system: tetragonal
Calculated formation energy (kJ/mol of atoms): -14.1

Cell and atoms, written as CIF:
```
data_PmCd9Rh2
_chemical_formula_sum 'Pm2 Cd18 Rh4'
_space_group_name_H-M_alt 'P 1'
_space_group_IT_number 1
_cell_length_a 9.050
_cell_length_b 9.050
_cell_length_c 9.050
_cell_angle_alpha 100.09
_cell_angle_beta 100.09
_cell_angle_gamma 130.52
loop_
_space_group_symop_operation_xyz
'x,y,z'
loop_
_atom_site_label
_atom_site_type_symbol
_atom_site_fract_x
_atom_site_fract_y
_atom_site_fract_z
Pm1 Pm 0.375 0.625 0.750
Pm2 Pm 0.625 0.375 0.250
Cd1 Cd 0.125 0.875 0.250
Cd2 Cd 0.132 0.561 0.329
Cd3 Cd 0.132 0.802 0.571
Cd4 Cd 0.198 0.269 0.329
Cd5 Cd 0.198 0.868 0.929
Cd6 Cd 0.269 0.198 0.829
Cd7 Cd 0.269 0.439 0.071
Cd8 Cd 0.439 0.269 0.571
Cd9 Cd 0.439 0.868 0.171
Cd10 Cd 0.561 0.132 0.829
Cd11 Cd 0.561 0.731 0.429
Cd12 Cd 0.731 0.561 0.929
Cd13 Cd 0.731 0.802 0.171
Cd14 Cd 0.802 0.132 0.071
Cd15 Cd 0.802 0.731 0.671
Cd16 Cd 0.868 0.198 0.429
Cd17 Cd 0.868 0.439 0.671
Cd18 Cd 0.875 0.125 0.750
Rh1 Rh 0.000 0.000 0.000
Rh2 Rh 0.000 0.000 0.500
Rh3 Rh 0.000 0.500 0.000
Rh4 Rh 0.500 0.000 0.500
```

No. 9
A plane-wave DFT calculation with GGA-PBE was carried out for Th2Fe9Mo after structural relaxation.

Space group: R-3m, No. 166
Crystal system: trigonal
Calculated formation energy (kJ/mol of atoms): 14.8

Cell and atoms, written as CIF:
```
data_Th2Fe9Mo
_chemical_formula_sum 'Th2 Fe9 Mo1'
_space_group_name_H-M_alt 'P 1'
_space_group_IT_number 1
_cell_length_a 8.733
_cell_length_b 8.733
_cell_length_c 8.733
_cell_angle_alpha 32.66
_cell_angle_beta 32.66
_cell_angle_gamma 32.66
loop_
_space_group_symop_operation_xyz
'x,y,z'
loop_
_atom_site_label
_atom_site_type_symbol
_atom_site_fract_x
_atom_site_fract_y
_atom_site_fract_z
Th1 Th 0.137 0.137 0.137
Th2 Th 0.863 0.863 0.863
Fe1 Fe 0.077 0.577 0.577
Fe2 Fe 0.333 0.333 0.333
Fe3 Fe 0.423 0.423 0.923
Fe4 Fe 0.423 0.923 0.423
Fe5 Fe 0.500 0.500 0.500
Fe6 Fe 0.577 0.077 0.577
Fe7 Fe 0.577 0.577 0.077
Fe8 Fe 0.667 0.667 0.667
Fe9 Fe 0.923 0.423 0.423
Mo1 Mo 0.000 0.000 0.000
```